# SrTcSe2N (PBE, optimized geometry)
# E_tot   -4.11 eV/atom
# Distance to the lowest polymorph of the same formula   1926.4 meV per atom
# Formation energy without anion corrections   1.36 eV per atom
# Magnetic moment   2.1 μB/f.u.
data_SrTcSe2N
_cell_length_a 5.744
_cell_length_b 5.744
_cell_length_c 4.714
_cell_angle_alpha 90.00
_cell_angle_beta 90.00
_cell_angle_gamma 90.00
_symmetry_space_group_name_H-M 'P 1'
_symmetry_Int_Tables_number 1
_symmetry_space_group_name_Hall 'P 1'
loop_
_atom_site_label
_atom_site_fract_x
_atom_site_fract_y
_atom_site_fract_z
_atom_site_occupancy
Sr1 0.000 0.000 0.000 1
Se1 0.000 0.500 0.000 1
Se2 0.500 0.000 0.000 1
N1 0.000 0.000 0.500 1
Tc1 0.500 0.500 0.500 1

# CePu3Sb4 (PBE, optimized geometry)
# E_tot   -8.88 eV/atom
# Formation energy without anion corrections   -0.71 eV per atom
# Magnetic moment   16.0 μB/f.u.
data_CePu3Sb4
_cell_length_a 6.289
_cell_length_b 6.289
_cell_length_c 6.289
_cell_angle_alpha 90.00
_cell_angle_beta 90.00
_cell_angle_gamma 90.00
_symmetry_space_group_name_H-M 'P 1'
_symmetry_Int_Tables_number 1
_symmetry_space_group_name_Hall 'P 1'
loop_
_atom_site_label
_atom_site_fract_x
_atom_site_fract_y
_atom_site_fract_z
_atom_site_occupancy
Sb1 0.000 0.000 0.500 1
Sb2 0.500 0.500 0.500 1
Sb3 0.500 0.000 0.000 1
Sb4 0.000 0.500 0.000 1
Pu1 0.500 0.000 0.500 1
Pu2 0.000 0.500 0.500 1
Pu3 0.500 0.500 0.000 1
Ce1 0.000 0.000 0.000 1

# La7PrTl2 (PBE, optimized geometry)
# E_tot   -4.14 eV/atom
# Formation energy   262 meV/atom
# Magnetic moment   0.0 μB/f.u.
data_La7PrTl2
_cell_length_a 5.584
_cell_length_b 9.408
_cell_length_c 9.408
_cell_angle_alpha 119.52
_cell_angle_beta 90.00
_cell_angle_gamma 90.00
_symmetry_space_group_name_H-M 'P 1'
_symmetry_Int_Tables_number 1
_symmetry_space_group_name_Hall 'P 1'
loop_
_atom_site_label
_atom_site_fract_x
_atom_site_fract_y
_atom_site_fract_z
_atom_site_occupancy
Tl1 0.500 0.693 0.307 1
Tl2 0.500 0.307 0.693 1
La1 0.000 0.226 0.774 1
La2 0.500 0.299 0.057 1
La3 0.000 0.774 0.226 1
La4 0.500 0.500 0.500 1
La5 0.500 0.701 0.943 1
La6 0.500 0.943 0.701 1
La7 0.500 0.057 0.299 1
Pr1 0.000 0.000 0.000 1

# TlPbCl (PBE, optimized geometry)
# E_tot   -2.99 eV/atom
# Distance to the lowest polymorph of the same formula   79.3 meV per atom
# Formation energy without anion corrections   -0.35 eV per atom
# Magnetic moment   0.0 μB/f.u.
data_TlPbCl
_cell_length_a 8.414
_cell_length_b 8.061
_cell_length_c 3.545
_cell_angle_alpha 83.22
_cell_angle_beta 72.05
_cell_angle_gamma 24.73
_symmetry_space_group_name_H-M 'P 1'
_symmetry_Int_Tables_number 1
_symmetry_space_group_name_Hall 'P 1'
loop_
_atom_site_label
_atom_site_fract_x
_atom_site_fract_y
_atom_site_fract_z
_atom_site_occupancy
Pb1 0.348 0.348 0.652 1
Cl1 0.998 0.998 0.002 1
Tl1 0.654 0.654 0.346 1

# TaAl3I (PBE, optimized geometry)
# E_tot   -3.06 eV/atom
# Distance to the lowest polymorph of the same formula   949.6 meV per atom
# Formation energy without anion corrections   1.86 eV per atom
# Magnetic moment   1.1 μB/f.u.
data_TaAl3I
_cell_length_a 5.133
_cell_length_b 5.133
_cell_length_c 5.133
_cell_angle_alpha 90.00
_cell_angle_beta 90.00
_cell_angle_gamma 90.00
_symmetry_space_group_name_H-M 'P 1'
_symmetry_Int_Tables_number 1
_symmetry_space_group_name_Hall 'P 1'
loop_
_atom_site_label
_atom_site_fract_x
_atom_site_fract_y
_atom_site_fract_z
_atom_site_occupancy
Al1 0.000 0.000 0.500 1
Al2 0.500 0.000 0.000 1
Al3 0.000 0.500 0.000 1
I1 0.000 0.000 0.000 1
Ta1 0.500 0.500 0.500 1

# Zn2CdPdI (PBE, optimized geometry)
# E_tot   -2.08 eV/atom
# Formation energy without anion corrections   -0.04 eV per atom
# Magnetic moment   0.0 μB/f.u.
data_Zn2CdPdI
_cell_length_a 4.923
_cell_length_b 5.403
_cell_length_c 4.923
_cell_angle_alpha 90.00
_cell_angle_beta 90.00
_cell_angle_gamma 90.00
_symmetry_space_group_name_H-M 'P 1'
_symmetry_Int_Tables_number 1
_symmetry_space_group_name_Hall 'P 1'
loop_
_atom_site_label
_atom_site_fract_x
_atom_site_fract_y
_atom_site_fract_z
_atom_site_occupancy
Cd1 0.000 0.500 0.000 1
I1 0.500 0.500 0.500 1
Zn1 0.500 0.000 0.000 1
Zn2 0.000 0.000 0.500 1
Pd1 0.000 0.000 0.000 1